# 1
# TaMn4Al meta-GGA SCAN PBEsol geometry
data_TaMn4Al
_cell_length_a 6.641
_cell_length_b 6.641
_cell_length_c 6.641
_cell_angle_alpha 90.00
_cell_angle_beta 90.00
_cell_angle_gamma 90.00
_space_group_name_H-M_alt 'F -4 3 m'
_space_group_IT_number 216
_space_group_name_Hall 'F -4 2 3'
loop_
_atom_site_label
_atom_site_type_symbol
_atom_site_fract_x
_atom_site_fract_y
_atom_site_fract_z
Ta1 Ta 0.000 0.000 0.000
Mn1 Mn 0.124 0.124 0.376
Al1 Al 0.250 0.250 0.750
# - ρ: 9.70 g cm⁻³
# - Energy of formation from the pure elements: -0.197 eV/atom

***

# 2
# TaMnAl meta-GGA SCAN PBEsol geometry
data_TaMnAl
_cell_length_a 5.980
_cell_length_b 5.980
_cell_length_c 5.980
_cell_angle_alpha 90.00
_cell_angle_beta 90.00
_cell_angle_gamma 90.00
_space_group_name_H-M_alt 'F -4 3 m'
_space_group_IT_number 216
_space_group_name_Hall 'F -4 2 3'
loop_
_atom_site_label
_atom_site_type_symbol
_atom_site_fract_x
_atom_site_fract_y
_atom_site_fract_z
Ta1 Ta 0.000 0.000 0.000
Mn1 Mn 0.250 0.250 0.750
Al1 Al 0.250 0.250 0.250
# - ρ: 8.17 g cm⁻³
# - Energy of formation from the pure elements: 0.705 eV/atom

***

# 3
# TaMn2Al meta-GGA SCAN PBEsol geometry
data_TaMn2Al
_cell_length_a 2.7006
_cell_length_b 2.7006
_cell_length_c 25.5692
_cell_angle_alpha 90.00
_cell_angle_beta 90.00
_cell_angle_gamma 120.00
_space_group_name_H-M_alt 'R 3 m'
_space_group_IT_number 160
_space_group_name_Hall 'R 3 -2"'
loop_
_atom_site_label
_atom_site_type_symbol
_atom_site_fract_x
_atom_site_fract_y
_atom_site_fract_z
Ta1 Ta 0.0000 0.0000 0.0000
Mn1 Mn 0.0000 0.0000 0.4903
Mn2 Mn 0.0000 0.0000 0.7558
Al1 Al 0.0000 0.0000 0.2365
# - ρ: 9.80 g cm⁻³
# - Energy of formation from the pure elements: 0.064 eV/atom

***

# 4
# TaMn2Al meta-GGA SCAN PBEsol geometry
data_TaMn2Al
_cell_length_a 2.640
_cell_length_b 3.984
_cell_length_c 5.093
_cell_angle_alpha 90.00
_cell_angle_beta 100.04
_cell_angle_gamma 90.00
_space_group_name_H-M_alt 'P 1 2/m 1'
_space_group_IT_number 10
loop_
_space_group_symop_operation_xyz
'x,y,z'
'-x,-y,-z'
'-x,y,-z'
'x,-y,z'
loop_
_atom_site_label
_atom_site_type_symbol
_atom_site_fract_x
_atom_site_fract_y
_atom_site_fract_z
Ta1 Ta 0.000 0.000 0.000
Mn1 Mn 0.189 0.500 0.725
Al1 Al 0.500 0.000 0.500
# - ρ: 10.00 g cm⁻³
# - Energy of formation from the pure elements: -0.061 eV/atom

***

# 5
# Mn2AlTc meta-GGA SCAN PBEsol geometry
data_Mn2AlTc
_cell_length_a 2.592
_cell_length_b 4.011
_cell_length_c 4.865
_cell_angle_alpha 90.00
_cell_angle_beta 102.36
_cell_angle_gamma 90.00
_space_group_name_H-M_alt 'P 1 m 1'
_space_group_IT_number 6
loop_
_space_group_symop_operation_xyz
'x,y,z'
'x,-y,z'
loop_
_atom_site_label
_atom_site_type_symbol
_atom_site_fract_x
_atom_site_fract_y
_atom_site_fract_z
Mn1 Mn 0.000 0.000 0.000
Mn2 Mn 0.147 0.500 0.754
Al1 Al 0.435 0.000 0.517
Tc1 Tc 0.744 0.500 0.252
# - ρ: 7.89 g cm⁻³
# - Energy of formation from the pure elements: -0.233 eV/atom

***

# 6
# MnAl2Tc meta-GGA SCAN PBEsol geometry
data_MnAl2Tc
_cell_length_a 5.990
_cell_length_b 5.990
_cell_length_c 5.990
_cell_angle_alpha 90.00
_cell_angle_beta 90.00
_cell_angle_gamma 90.00
_space_group_name_H-M_alt 'F m -3 m'
_space_group_IT_number 225
_space_group_name_Hall '-F 4 2 3'
loop_
_atom_site_label
_atom_site_type_symbol
_atom_site_fract_x
_atom_site_fract_y
_atom_site_fract_z
Mn1 Mn 0.000 0.000 0.000
Al1 Al 0.250 0.250 0.250
Tc1 Tc 0.000 0.000 0.500
# - ρ: 6.39 g cm⁻³
# - Relative energy among the computed polymorphs: 0 meV per atom
# - Energy of formation from the pure elements: -0.521 eV/atom

***

# 7
# MnAl2Tc meta-GGA SCAN PBEsol geometry
data_MnAl2Tc
_cell_length_a 2.967
_cell_length_b 2.967
_cell_length_c 5.899
_cell_angle_alpha 90.00
_cell_angle_beta 90.00
_cell_angle_gamma 90.00
_space_group_name_H-M_alt 'P 4 m m'
_space_group_IT_number 99
loop_
_space_group_symop_operation_xyz
'x,y,z'
'-y,x,z'
'-x,-y,z'
'y,-x,z'
'-x,y,z'
'y,x,z'
'x,-y,z'
'-y,-x,z'
loop_
_atom_site_label
_atom_site_type_symbol
_atom_site_fract_x
_atom_site_fract_y
_atom_site_fract_z
Mn1 Mn 0.000 0.000 0.000
Al1 Al 0.000 0.000 0.497
Al2 Al 0.500 0.500 0.782
Tc1 Tc 0.500 0.500 0.249
# - ρ: 6.62 g cm⁻³
# - Relative energy among the computed polymorphs: 200 meV per atom
# - Energy of formation from the pure elements: -0.321 eV/atom

***

# 8
# MnAl2Tc meta-GGA SCAN PBEsol geometry
data_MnAl2Tc
_cell_length_a 3.679
_cell_length_b 3.679
_cell_length_c 7.991
_cell_angle_alpha 90.00
_cell_angle_beta 90.00
_cell_angle_gamma 90.00
_space_group_name_H-M_alt 'I -4 m 2'
_space_group_IT_number 119
_space_group_name_Hall 'I -4 -2'
loop_
_atom_site_label
_atom_site_type_symbol
_atom_site_fract_x
_atom_site_fract_y
_atom_site_fract_z
Mn1 Mn 0.000 0.000 0.000
Al1 Al 0.000 0.000 0.500
Al2 Al 0.000 0.500 0.750
Tc1 Tc 0.000 0.500 0.250
# - ρ: 6.35 g cm⁻³
# - Relative energy among the computed polymorphs: 147 meV per atom
# - Energy of formation from the pure elements: -0.374 eV/atom

***

# 9
# Mn3AlTc meta-GGA SCAN PBEsol geometry
data_Mn3AlTc
_cell_length_a 4.190
_cell_length_b 4.190
_cell_length_c 4.190
_cell_angle_alpha 90.00
_cell_angle_beta 90.00
_cell_angle_gamma 90.00
_space_group_name_H-M_alt 'P m -3 m'
_space_group_IT_number 221
_space_group_name_Hall '-P 4 2 3'
loop_
_atom_site_label
_atom_site_type_symbol
_atom_site_fract_x
_atom_site_fract_y
_atom_site_fract_z
Mn1 Mn 0.000 0.000 0.500
Al1 Al 0.000 0.000 0.000
Tc1 Tc 0.500 0.500 0.500
# - ρ: 6.54 g cm⁻³
# - Energy of formation from the pure elements: 1.223 eV/atom

***

# 10
# MnAl2Tc meta-GGA SCAN PBEsol geometry
data_MnAl2Tc
_cell_length_a 4.094
_cell_length_b 4.094
_cell_length_c 3.225
_cell_angle_alpha 90.00
_cell_angle_beta 90.00
_cell_angle_gamma 90.00
_space_group_name_H-M_alt 'P 4/m m m'
_space_group_IT_number 123
_space_group_name_Hall '-P 4 2'
loop_
_atom_site_label
_atom_site_type_symbol
_atom_site_fract_x
_atom_site_fract_y
_atom_site_fract_z
Mn1 Mn 0.000 0.000 0.000
Al1 Al 0.000 0.500 0.500
Tc1 Tc 0.500 0.500 0.000
# - ρ: 6.36 g cm⁻³
# - Relative energy among the computed polymorphs: 11 meV per atom
# - Energy of formation from the pure elements: -0.510 eV/atom

***

# 11
# MnAl2Te meta-GGA SCAN PBEsol geometry
data_MnAl2Te
_cell_length_a 4.542
_cell_length_b 4.542
_cell_length_c 3.576
_cell_angle_alpha 90.00
_cell_angle_beta 90.00
_cell_angle_gamma 90.00
_space_group_name_H-M_alt 'P 4/m m m'
_space_group_IT_number 123
_space_group_name_Hall '-P 4 2'
loop_
_atom_site_label
_atom_site_type_symbol
_atom_site_fract_x
_atom_site_fract_y
_atom_site_fract_z
Mn1 Mn 0.000 0.000 0.000
Al1 Al 0.000 0.500 0.500
Te1 Te 0.500 0.500 0.000
# - ρ: 5.32 g cm⁻³
# - Raw formation energy: 0.140 eV per atom

***

# 12
# MnAlTe meta-GGA SCAN PBEsol geometry
data_MnAlTe
_cell_length_a 3.2564
_cell_length_b 3.2564
_cell_length_c 5.9226
_cell_angle_alpha 90.00
_cell_angle_beta 90.00
_cell_angle_gamma 120.00
_space_group_name_H-M_alt 'P 3 m 1'
_space_group_IT_number 156
loop_
_space_group_symop_operation_xyz
'x,y,z'
'-y,x-y,z'
'-x+y,-x,z'
'-y,-x,z'
'-x+y,y,z'
'x,x-y,z'
loop_
_atom_site_label
_atom_site_type_symbol
_atom_site_fract_x
_atom_site_fract_y
_atom_site_fract_z
Mn1 Mn 0.0000 0.0000 0.0000
Al1 Al 0.6667 0.3333 0.2895
Te1 Te 0.3333 0.6667 0.7065
# - ρ: 6.40 g cm⁻³
# - Raw formation energy: 0.067 eV per atom
# - Relative energy among the computed polymorphs: 21 meV per atom

***

Number 10 is which compound?
MnAl2Tc

***

Number 1 is which compound?
TaMn4Al

***

Which formula does entry 11 have?
MnAl2Te